P.
Density functional theory data (PBE-GGA) for YPb2W after structural relaxation.

Unit cell a=3.8719 b=5.1922 c=4.7593 alpha=90.00 beta=90.00 gamma=90.00
With the nearest neighbours (Å) after each atom.
Element x y z (fractional)
W  0.5000  0.0000  0.5000  4 Pb 3.07, 4 Y 3.24
Pb  0.5000  0.5000  0.0000  4 Y 3.07, 4 Pb 3.24
Pb  0.0000  0.0000  0.0000  4 W 3.07, 4 Pb 3.24
Y  0.0000  0.5000  0.5000  4 Pb 3.07, 4 W 3.24

M_tot in μB per atom: 0.000
Symmetry: Pmmm, No. 47
Density of states at the Fermi level in states/eV/atom: 0.95

Q.
Density functional theory data (PBE-GGA) for YPb2W after structural relaxation.

Unit cell a=5.0810 b=5.0810 c=5.0810 alpha=60.00 beta=60.00 gamma=60.00
With the nearest neighbours (Å) after each atom.
Element x y z (fractional)
Pb  0.2500  0.2500  0.2500  4 W 3.11, 4 Y 3.11
Pb  0.7500  0.7500  0.7500  4 W 3.11, 4 Y 3.11
W  0.5000  0.5000  0.5000  8 Pb 3.11
Y  0.0000  0.0000  0.0000  8 Pb 3.11

M_tot in μB per atom: 0.000
Symmetry: Fm-3m, No. 225
Density of states at the Fermi level in states/eV/atom: 0.86

R.
Density functional theory data (PBE-GGA) for YPb2W after structural relaxation.

Unit cell a=5.2388 b=5.2388 c=5.2388 alpha=60.00 beta=60.00 gamma=60.00
With the nearest neighbours (Å) after each atom.
Element x y z (fractional)
W  0.5000  0.5000  0.5000  4 Y 3.21, 4 Pb 3.21
Pb  0.2500  0.2500  0.2500  4 Pb 3.21, 4 W 3.21
Pb  0.0000  0.0000  0.0000  4 Pb 3.21, 4 Y 3.21
Y  0.7500  0.7500  0.7500  4 W 3.21, 4 Pb 3.21

M_tot in μB per atom: 0.640
Symmetry: F-43m, No. 216
Density of states at the Fermi level in states/eV/atom: 1.18

S.
Density functional theory data (PBE-GGA) for YPb2W after structural relaxation.

Unit cell a=6.6520 b=6.6520 c=5.1327 alpha=73.30 beta=73.30 gamma=27.84
With the nearest neighbours (Å) after each atom.
Element x y z (fractional)
Pb  0.0055  0.0055  0.9653  4 W 2.96-3.09, 3 Pb 3.20-3.24
Pb  0.7917  0.7917  0.7567  2 W 3.07, 4 Y 3.19-3.20, 3 Pb 3.20-3.24
Y  0.2074  0.2074  0.3206  2 W 3.07, 4 Pb 3.19-3.20, 2 Y 3.20
W  0.4954  0.4954  0.4574  6 Pb 2.96-3.09, 2 Y 3.07, 2 W 3.20

M_tot in μB per atom: 0.000
Symmetry: Cm, No. 8
Density of states at the Fermi level in states/eV/atom: 1.04

The energy of each structure relative to the most stable one, in meV/atom, is as follows: P 45; Q 0; R 267; S 63.

P.
Density functional theory data (PBE-GGA) for YPb2W after structural relaxation.

Unit cell a=5.2465 b=5.2465 c=5.4264 alpha=71.50 beta=71.50 gamma=43.87
With the nearest neighbours (Å) after each atom.
Element x y z (fractional)
Y  0.7500  0.7500  0.7500  6 Pb 3.17-3.19, 4 W 3.35
Pb  0.5158  0.5158  0.4630  3 W 2.93-3.17, 2 Pb 3.12, 3 Y 3.17-3.19
Pb  0.9842  0.9842  0.0370  3 W 2.93-3.17, 2 Pb 3.12, 3 Y 3.17-3.19
W  0.2500  0.2500  0.2500  6 Pb 2.93-3.17

M_tot in μB per atom: 0.000
Symmetry: C2/m, No. 12
Density of states at the Fermi level in states/eV/atom: 0.69

Q.
Density functional theory data (PBE-GGA) for YPb2W after structural relaxation.

Unit cell a=5.2674 b=3.2788 c=5.9316 alpha=73.99 beta=90.00 gamma=90.00
With the nearest neighbours (Å) after each atom.
Element x y z (fractional)
W  0.0000  0.3122  0.4989  5 Pb 2.94-3.22, 2 W 3.28
Y  0.5000  0.7005  0.7237  3 Pb 3.07-3.10, 2 Y 3.28, 4 W 3.36
Pb  0.5000  0.4303  0.2629  2 W 2.96, 3 Y 3.07-3.10, 2 Pb 3.28
Pb  0.0000  0.0570  0.0144  3 W 2.94-3.22, 2 Pb 3.28

M_tot in μB per atom: 0.000
Symmetry: Pm, No. 6
Density of states at the Fermi level in states/eV/atom: 0.83

R.
Density functional theory data (PBE-GGA) for YPb2W after structural relaxation.

Unit cell a=9.9350 b=9.9350 c=9.9350 alpha=19.71 beta=19.71 gamma=19.71
With the nearest neighbours (Å) after each atom.
Element x y z (fractional)
Pb  0.9902  0.9902  0.9902  3 W 2.91
Pb  0.5098  0.5098  0.5098  3 W 2.91
Y  0.7500  0.7500  0.7500  6 Pb 3.35, 6 Y 3.40
W  0.2500  0.2500  0.2500  6 Pb 2.91

M_tot in μB per atom: 0.000
Symmetry: R-3m, No. 166
Density of states at the Fermi level in states/eV/atom: 0.86

The energy of each structure relative to the most stable one, in meV/atom, is as follows: P 0; Q 90; R 109.

P.
Density functional theory data (PBE-GGA) for YPb2W after structural relaxation.

Unit cell a=3.6639 b=3.6609 c=7.4941 alpha=90.00 beta=90.00 gamma=90.00
With the nearest neighbours (Å) after each atom.
Element x y z (fractional)
Y  0.5000  0.5000  0.7186  5 Pb 3.16-3.39, 4 W 3.17
Pb  0.0000  0.0000  0.0106  8 Pb 3.36-3.66, 4 Y 3.39, 1 W 3.47
Pb  0.5000  0.5000  0.2971  4 W 2.91, 1 Y 3.16
W  0.0000  0.0000  0.4737  4 Pb 2.91, 4 Y 3.17

M_tot in μB per atom: 0.000
Symmetry: P4mm, No. 99
Density of states at the Fermi level in states/eV/atom: 0.84

Q.
Density functional theory data (PBE-GGA) for YPb2W after structural relaxation.

Unit cell a=5.2672 b=5.2672 c=5.2672 alpha=125.46 beta=125.46 gamma=80.78
With the nearest neighbours (Å) after each atom.
Element x y z (fractional)
W  0.2500  0.7500  0.5000  8 Pb 3.14, 4 Y 3.41
Y  0.7500  0.2500  0.5000  8 Pb 3.14, 4 W 3.41
Pb  0.0000  0.0000  0.0000  4 W 3.14, 4 Y 3.14, 4 Pb 3.41
Pb  0.5000  0.5000  0.0000  4 W 3.14, 4 Y 3.14, 4 Pb 3.41

M_tot in μB per atom: 0.177
Symmetry: I4/mmm, No. 139
Density of states at the Fermi level in states/eV/atom: 0.81

The energy of each structure relative to the most stable one, in meV/atom, is as follows: P 7; Q 0.

P.
Density functional theory data (PBE-GGA) for YPb2W after structural relaxation.

Unit cell a=8.1201 b=8.1201 c=6.5674 alpha=51.81 beta=51.81 gamma=90.00
With the nearest neighbours (Å) after each atom.
Element x y z (fractional)
Y  0.5000  0.5000  0.0000  4 Pb 3.15, 2 W 3.19
Y  0.2500  0.7500  0.5000  4 Pb 3.15, 2 W 3.19
Pb  0.3750  0.3445  0.7500  2 W 2.82, 2 Y 3.15
Pb  0.6555  0.1250  0.2500  2 W 2.82, 2 Y 3.15
Pb  0.8750  0.9055  0.7500  2 W 2.82, 2 Y 3.15
Pb  0.0945  0.6250  0.2500  2 W 2.82, 2 Y 3.15
W  0.7500  0.2500  0.5000  4 Pb 2.82
W  0.0000  0.0000  0.0000  4 Pb 2.82

M_tot in μB per atom: 0.250
Symmetry: I-42d, No. 122
Density of states at the Fermi level in states/eV/atom: 0.55

Q.
Density functional theory data (PBE-GGA) for YPb2W after structural relaxation.

Unit cell a=3.1419 b=3.1419 c=10.9691 alpha=90.00 beta=90.00 gamma=97.59
With the nearest neighbours (Å) after each atom.
Element x y z (fractional)
Y  0.5000  0.5000  0.7149  4 W 3.04-3.25, 4 Y 3.14
Pb  0.0000  0.0000  0.9695  4 Pb 3.14, 2 Y 3.48
Pb  0.5000  0.5000  0.3035  4 W 3.09-3.29, 4 Pb 3.14
W  0.0000  0.0000  0.5122  4 Y 3.04-3.25, 4 Pb 3.09-3.29, 4 W 3.14

M_tot in μB per atom: 0.000
Symmetry: Cmm2, No. 35
Density of states at the Fermi level in states/eV/atom: 0.60

R.
Density functional theory data (PBE-GGA) for YPb2W after structural relaxation.

Unit cell a=5.8755 b=5.8755 c=5.8755 alpha=135.94 beta=135.94 gamma=64.08
With the nearest neighbours (Å) after each atom.
Element x y z (fractional)
W  0.5000  0.5000  0.0000  8 Pb 3.12-3.33, 4 Y 3.33
Y  0.7500  0.2500  0.5000  8 Pb 3.12-3.33, 4 W 3.33
Pb  0.0000  0.0000  0.0000  4 W 3.12, 4 Pb 3.33, 4 Y 3.33
Pb  0.2500  0.7500  0.5000  4 Y 3.12, 4 W 3.33, 4 Pb 3.33

M_tot in μB per atom: 0.406
Symmetry: I-4m2, No. 119
Density of states at the Fermi level in states/eV/atom: 0.99

S.
Density functional theory data (PBE-GGA) for YPb2W after structural relaxation.

Unit cell a=5.4346 b=5.4346 c=3.4823 alpha=81.89 beta=81.89 gamma=106.31
With the nearest neighbours (Å) after each atom.
Element x y z (fractional)
Y  0.0000  0.5000  0.5000  4 Pb 3.01, 2 W 3.26
Pb  0.5000  0.5000  0.0000  2 Y 3.01, 2 W 3.01, 2 Pb 3.26
Pb  0.0000  0.0000  0.0000  2 W 3.01, 2 Y 3.01, 2 Pb 3.26
W  0.5000  0.0000  0.5000  4 Pb 3.01, 2 Y 3.26

M_tot in μB per atom: 0.000
Symmetry: C2/m, No. 12
Density of states at the Fermi level in states/eV/atom: 0.75

The energy of each structure relative to the most stable one, in meV/atom, is as follows: P 148; Q 0; R 81; S 104.